# FeCoPd, relaxed, DFT PBE-GGA
data_FeCoPd
_cell_length_a 3.677
_cell_length_b 11.140
_cell_length_c 3.784
_cell_angle_alpha 90.00
_cell_angle_beta 90.00
_cell_angle_gamma 90.00
_symmetry_space_group_name_H-M 'C m c m'
_symmetry_Int_Tables_number 63
_symmetry_space_group_name_Hall '-C 2c 2'
loop_
_atom_site_label
_atom_site_type_symbol
_atom_site_fract_x
_atom_site_fract_y
_atom_site_fract_z
Fe1 Fe 0.000 0.098 0.250
Co1 Co 0.000 0.251 0.750
Pd1 Pd 0.000 0.414 0.250
# Formation energy   11.5 meV per atom
# Energy relative to the lowest polymorph listed for this composition   0.00 eV/f.u.
# Fermi-level density of states   0.908 states/eV/atom